No. 1
{
  "formula": "ScTiAl2",
  "functional": "PBE-GGA",
  "state": "relaxed",
  "crystal_system": "cubic",
  "dos_ef_per_ev_cell": 3.71,
  "cell": [[0.000, 3.279, 3.279], [3.279, 0.000, 3.279], [3.279, 3.279, 0.000]],
  "species": ["Sc", "Al", "Al", "Ti"],
  "fractional_positions": [[0.000, 0.000, 0.000], [0.250, 0.250, 0.250], [0.750, 0.750, 0.750], [0.500, 0.500, 0.500]]
}

---

No. 2
{
  "formula": "CsSn2SbCl8",
  "functional": "PBE-GGA",
  "state": "relaxed",
  "crystal_system": "triclinic",
  "dos_ef_per_ev_cell": 0.00,
  "cell": [[-3.633, -3.718, -4.748], [4.616, -4.634, -0.541], [-4.375, -5.603, 6.322]],
  "species": ["Cs", "Sn", "Sn", "Sb", "Cl", "Cl", "Cl", "Cl", "Cl", "Cl", "Cl", "Cl"],
  "fractional_positions": [[0.000, 0.000, 0.500], [0.474, 0.475, 0.761], [0.526, 0.525, 0.239], [0.000, 0.000, 0.000], [0.179, 0.776, 0.191], [0.690, 0.769, 0.041], [0.861, 0.258, 0.203], [0.821, 0.224, 0.809], [0.310, 0.231, 0.959], [0.139, 0.742, 0.797], [0.613, 0.728, 0.440], [0.387, 0.272, 0.560]]
}

---

No. 3
{
  "formula": "BC2",
  "functional": "PBE-GGA",
  "state": "relaxed",
  "crystal_system": "monoclinic",
  "dos_ef_per_ev_cell": 1.94,
  "cell": [[-5.712, -0.286, -3.979], [-2.871, 4.252, -4.415], [4.674, -4.130, 2.630]],
  "species": ["B", "B", "B", "B", "C", "C", "C", "C", "C", "C", "C", "C"],
  "fractional_positions": [[0.980, 0.331, 0.649], [0.145, 0.128, 0.018], [0.185, 0.791, 0.394], [0.940, 0.667, 0.273], [0.631, 0.291, 0.340], [0.494, 0.168, 0.327], [0.996, 0.998, 0.998], [0.628, 0.959, 0.669], [0.525, 0.836, 0.689], [0.600, 0.623, 0.978], [0.497, 0.499, 0.998], [0.129, 0.460, 0.668]]
}

---

No. 4
{
  "formula": "ZrHgMo2",
  "functional": "PBE-GGA",
  "state": "relaxed",
  "crystal_system": "tetragonal",
  "dos_ef_per_ev_cell": 4.06,
  "cell": [[-2.365, 1.521, 0.004], [-0.442, -0.695, 2.689], [4.867, 7.564, 2.755]],
  "species": ["Hg", "Mo", "Mo", "Zr"],
  "fractional_positions": [[0.500, 0.500, 0.750], [0.000, 0.000, 0.994], [0.000, 0.000, 0.506], [0.500, 0.500, 0.250]]
}

---

No. 5
{
  "formula": "Pa2TcI",
  "functional": "PBE-GGA",
  "state": "relaxed",
  "crystal_system": "trigonal",
  "dos_ef_per_ev_cell": 5.88,
  "cell": [[-3.832, -0.442, 1.171], [-2.506, -2.324, -2.138], [-0.076, -7.102, 4.008]],
  "species": ["I", "Pa", "Pa", "Tc"],
  "fractional_positions": [[0.500, 0.500, 0.500], [0.271, 0.271, 0.186], [0.729, 0.729, 0.814], [0.000, 0.000, 0.000]]
}

---

No. 6
{
  "formula": "PuAl2Pt",
  "functional": "PBE-GGA",
  "state": "relaxed",
  "crystal_system": "trigonal",
  "dos_ef_per_ev_cell": 11.61,
  "cell": [[4.237, 0.000, 0.000], [2.118, 3.669, 0.000], [2.118, 1.223, 5.217]],
  "species": ["Al", "Al", "Pt", "Pu"],
  "fractional_positions": [[0.290, 0.290, 0.130], [0.710, 0.710, 0.870], [0.000, 0.000, 0.000], [0.500, 0.500, 0.500]]
}

---

In order of appearance, final energy = -23.00; -41.07; -23.95; -28.77; -31.82; -30.28 eV/f.u..